VASP calculation (PBE) on a relaxed structure of AlAgP2.

The structure belongs to space group I4/mmm (No. 139); the cell edges are 4.298, 4.298 and 7.084 Å and the angles 90.00°, 90.00° and 90.00°. The distinct sites, in fractional coordinates, are Al at (0.000, 0.000, 0.000), Ag at (0.000, 0.000, 0.500) and P at (0.000, 0.500, 0.250).

As for the calculated formation energy: 1.5 eV/f.u. For the volume, the calculation gives 130.8 Å³/cell. The value obtained for the density of states at the Fermi level is 1.76 states/eV/f.u. The theoretical density is 4.995 g cm⁻³.